No. 1
This record from Alexandria via LeMat-Bulk describes Y2MoAs after structural relaxation. The functional is PBE-GGA.

Cell lengths 5.7746, 5.7746, 4.9623 Å; angles 105.76, 105.76, 34.63 degrees
With the nearest neighbours (Å) after each atom.
Fractional coordinates of all 4 atoms:
1 Y 0.0000 0.0000 0.0000  1 Mo 2.88, 4 As 3.01-3.11
2 Y 0.2127 0.2127 0.6543  3 As 3.00-3.24, 4 Mo 3.05-3.17, 1 Y 3.28
3 Mo 0.7834 0.7834 0.2138  2 As 2.61, 1 Y 2.88
4 As 0.4527 0.4527 0.4825  2 Mo 2.61

Results
The symmetry is Cm. For the calculated formation energy, the calculation gives -0.253 eV per atom. Its volume is 22.5 A^3/atom.

No. 2
This record from Alexandria via LeMat-Bulk describes YMoAs2 after structural relaxation. The functional is PBE-GGA.

Cell lengths 5.1260, 5.1260, 4.8198 Å; angles 91.54, 91.54, 38.99 degrees
With the nearest neighbours (Å) after each atom.
Fractional coordinates of all 4 atoms:
1 Y 0.0000 0.0000 0.0000  5 As 2.67-2.94
2 Mo 0.2517 0.2517 0.4779  5 As 2.64-2.78
3 As 0.5397 0.5397 0.5127  3 Mo 2.68-2.78, 1 As 2.87, 2 Y 2.94
4 As 0.7267 0.7267 0.0618  2 Mo 2.64, 3 Y 2.67-2.79, 1 As 2.87

Results
Its polymorph energy (0 for the lowest one) is 206 meV/atom. The symmetry is Cm. For the calculated formation energy, the calculation gives -0.397 eV per atom. Its volume is 19.9 A^3/atom.

No. 3
This record from Alexandria via LeMat-Bulk describes YMoAs3 after structural relaxation. The functional is PBE-GGA.

Cell lengths 4.8991, 4.8991, 4.8991 Å; angles 90.00, 90.00, 90.00 degrees
With the nearest neighbours (Å) after each atom.
Fractional coordinates of all 5 atoms:
1 Y 0.0000 0.0000 0.0000  12 As 3.46
2 Mo 0.5000 0.5000 0.5000  6 As 2.45
3 As 0.0000 0.5000 0.5000  2 Mo 2.45
4 As 0.5000 0.0000 0.5000  2 Mo 2.45
5 As 0.5000 0.5000 0.0000  2 Mo 2.45

Results
Its polymorph energy (0 for the lowest one) is 0 meV/atom. The symmetry is Pm-3m. For the calculated formation energy, the calculation gives -0.029 eV per atom. Its volume is 23.5 A^3/atom.

No. 4
This record from Alexandria via LeMat-Bulk describes YMo2As after structural relaxation. The functional is PBE-GGA.

Cell lengths 4.8511, 4.8511, 4.8511 Å; angles 125.91, 125.91, 80.04 degrees
With the nearest neighbours (Å) after each atom.
Fractional coordinates of all 4 atoms:
1 Y 0.0000 0.0000 0.0000  4 As 2.88, 8 Mo 2.88-3.12
2 Mo 0.5000 0.5000 0.0000  4 As 2.88, 4 Mo 2.88, 4 Y 3.12
3 Mo 0.7500 0.2500 0.5000  4 Mo 2.88, 4 Y 2.88, 4 As 3.12
4 As 0.2500 0.7500 0.5000  8 Mo 2.88-3.12, 4 Y 2.88

Results
The symmetry is I-4m2. For the calculated formation energy, the calculation gives 0.126 eV per atom. Its volume is 18.1 A^3/atom.

No. 5
This record from Alexandria via LeMat-Bulk describes YMo2As2 after structural relaxation. The functional is PBE-GGA.

Cell lengths 6.2838, 6.2838, 6.2838 Å; angles 141.57, 141.57, 55.48 degrees
With the nearest neighbours (Å) after each atom.
Fractional coordinates of all 5 atoms:
1 Y 0.0000 0.0000 0.0000  8 As 3.21, 8 Mo 3.47
2 Mo 0.2500 0.7500 0.5000  4 As 2.52
3 Mo 0.7500 0.2500 0.5000  4 As 2.52
4 As 0.3801 0.3801 0.0000  4 Mo 2.52, 1 As 2.67
5 As 0.6199 0.6199 0.0000  4 Mo 2.52, 1 As 2.67

Results
Its polymorph energy (0 for the lowest one) is 0 meV/atom. The symmetry is I4/mmm. For the calculated formation energy, the calculation gives -0.394 eV per atom. Its volume is 19.0 A^3/atom.

No. 6
This record from Alexandria via LeMat-Bulk describes Y2MoAs after structural relaxation. The functional is PBE-GGA.

Cell lengths 6.2645, 6.2645, 6.2645 Å; angles 146.76, 136.55, 55.78 degrees
With the nearest neighbours (Å) after each atom.
Fractional coordinates of all 4 atoms:
1 Y 0.0000 0.0000 0.0000  4 As 3.05, 2 Mo 3.34
2 Y 0.7322 0.2322 0.5000  4 Mo 2.94, 2 As 3.14
3 Mo 0.2550 0.7550 0.5000  2 As 2.58
4 As 0.4230 0.4230 0.0000  2 Mo 2.58

Results
The symmetry is Imm2. For the calculated formation energy, the calculation gives -0.239 eV per atom. Its volume is 23.0 A^3/atom.

No. 7
This record from Alexandria via LeMat-Bulk describes YMoAs3 after structural relaxation. The functional is PBE-GGA.

Cell lengths 5.2164, 5.2164, 5.2164 Å; angles 90.00, 90.00, 90.00 degrees
With the nearest neighbours (Å) after each atom.
Fractional coordinates of all 5 atoms:
1 Y 0.0000 0.0000 0.0000  6 As 2.61
2 Mo 0.5000 0.5000 0.5000  12 As 3.69
3 As 0.0000 0.0000 0.5000  2 Y 2.61
4 As 0.0000 0.5000 0.0000  2 Y 2.61
5 As 0.5000 0.0000 0.0000  2 Y 2.61

Results
Its polymorph energy (0 for the lowest one) is 1428 meV/atom. The symmetry is Pm-3m. For the calculated formation energy, the calculation gives 1.400 eV per atom. Its volume is 28.4 A^3/atom.

No. 8
This record from Alexandria via LeMat-Bulk describes YMoAs2 after structural relaxation. The functional is PBE-GGA.

Cell lengths 8.8357, 8.8357, 8.8357 Å; angles 21.81, 21.81, 21.81 degrees
With the nearest neighbours (Å) after each atom.
Fractional coordinates of all 4 atoms:
1 Y 0.0000 0.0000 0.0000  3 As 3.01, 3 Mo 3.04, 6 Y 3.34
2 Mo 0.7577 0.7577 0.7577  3 As 2.53
3 As 0.2440 0.2440 0.2440  3 Y 3.01, 9 As 3.02-3.34
4 As 0.4876 0.4876 0.4876  3 Mo 2.53

Results
Its polymorph energy (0 for the lowest one) is 659 meV/atom. The symmetry is R3m. For the calculated formation energy, the calculation gives 0.056 eV per atom. Its volume is 20.9 A^3/atom.

No. 9
This record from Alexandria via LeMat-Bulk describes YMo2As after structural relaxation. The functional is PBE-GGA.

Cell lengths 3.4680, 4.7746, 4.8131 Å; angles 90.00, 93.47, 90.00 degrees
With the nearest neighbours (Å) after each atom.
Fractional coordinates of all 4 atoms:
1 Y 0.0000 0.0000 0.0000  4 As 2.88-3.05, 4 Mo 3.04
2 Mo 0.4117 0.5000 0.7621  1 Mo 2.33
3 Mo 0.5883 0.5000 0.2379  1 Mo 2.33
4 As 0.5000 0.0000 0.5000  4 Mo 2.73, 4 Y 2.88-3.05

Results
The symmetry is P2/m. For the calculated formation energy, the calculation gives 0.105 eV per atom. Its volume is 19.9 A^3/atom.

No. 10
This record from Alexandria via LeMat-Bulk describes Y2MoAs after structural relaxation. The functional is PBE-GGA.

Cell lengths 4.1661, 5.8173, 5.8173 Å; angles 40.76, 90.00, 90.00 degrees
With the nearest neighbours (Å) after each atom.
Fractional coordinates of all 4 atoms:
1 Y 0.0000 0.0000 0.0000  4 As 3.01, 3 Mo 3.07-3.13
2 Y 0.5000 0.2835 0.2835  4 Mo 2.99, 3 As 3.06-3.15
3 Mo 0.0000 0.7185 0.7185  2 As 2.62
4 As 0.5000 0.5726 0.5726  2 Mo 2.62

Results
The symmetry is Amm2. For the calculated formation energy, the calculation gives -0.417 eV per atom. Its volume is 23.0 A^3/atom.

No. 11
This record from Alexandria via LeMat-Bulk describes YMo2As after structural relaxation. The functional is PBE-GGA.

Cell lengths 5.7246, 5.7246, 5.7246 Å; angles 140.48, 140.48, 57.13 degrees
With the nearest neighbours (Å) after each atom.
Fractional coordinates of all 4 atoms:
1 Y 0.0000 0.0000 0.0000  4 As 2.74
2 Mo 0.2500 0.7500 0.5000  4 Mo 2.74
3 Mo 0.7500 0.2500 0.5000  4 Mo 2.74
4 As 0.5000 0.5000 0.0000  4 Y 2.74

Results
The symmetry is I4/mmm. For the calculated formation energy, the calculation gives 0.119 eV per atom. Its volume is 18.8 A^3/atom.

No. 12
This record from Alexandria via LeMat-Bulk describes Y2MoAs after structural relaxation. The functional is PBE-GGA.

Cell lengths 8.8973, 8.8973, 8.8973 Å; angles 23.74, 23.74, 23.74 degrees
With the nearest neighbours (Å) after each atom.
Fractional coordinates of all 4 atoms:
1 Y 0.0000 0.0000 0.0000  3 As 2.82
2 Y 0.2109 0.2109 0.2109  3 Mo 3.11
3 Mo 0.4563 0.4563 0.4563  3 As 2.49
4 As 0.7388 0.7388 0.7388  3 Mo 2.49

Results
The symmetry is R3m. For the calculated formation energy, the calculation gives -0.125 eV per atom. Its volume is 25.1 A^3/atom.

Magnetic moment, respectively: 1.0; 0.5; 0.0; 0.0; 0.0; 0.0; 0.0; 0.0; 0.0; 0.0; 0.0; 0.3 μB per cell.